Here is a geometry-optimized SrYFe structure from Alexandria. Energies are from GGA-PBE.

Cell lengths 7.0851, 7.0851, 7.0851 Å; angles 90.00, 90.00, 90.00 degrees
Last column: nearest neighbours and their distance in Å.
Space group F-43m (No. 216)
Unique sites:
1 Sr 0.0000 0.0000 0.0000 (multiplicity 4)  4 Fe 3.07
2 Y 0.0000 0.0000 0.5000 (multiplicity 4)  4 Fe 3.07
3 Fe 0.2500 0.2500 0.2500 (multiplicity 4)  4 Y 3.07, 4 Sr 3.07

Properties
Size of the total moment ... 4.46 μB per cell
Energy relative to the lowest polymorph listed for this composition ... 0.283 eV per atom
DFT total energy ... -4.904 eV/atom
Energy relative to the elements ... 632 meV/atom
V ... 355.7 Å³ per cell
Theoretical density ... 4.34 Mg/m³

=====

Here is a geometry-optimized Sr2YFe structure from Alexandria. Energies are from GGA-PBE.

Cell lengths 3.7035, 3.7035, 9.8560 Å; angles 90.00, 90.00, 90.00 degrees
Last column: nearest neighbours and their distance in Å.
Space group P4/mmm (No. 123)
Unique sites:
1 Sr 0.0000 0.0000 0.1984 (multiplicity 2)  4 Fe 3.27
2 Y 0.5000 0.5000 0.5000 (multiplicity 1)  4 Y 3.70, 8 Sr 3.96
3 Fe 0.5000 0.5000 0.0000 (multiplicity 1)  8 Sr 3.27

Properties
Size of the total moment ... 3.30 μB per cell
Energy relative to the lowest polymorph listed for this composition ... 0.256 eV per atom
DFT total energy ... -4.031 eV/atom
Energy relative to the elements ... 542 meV/atom
V ... 135.2 Å³ per cell
Theoretical density ... 3.93 Mg/m³

=====

Here is a geometry-optimized SrY2Fe structure from Alexandria. Energies are from GGA-PBE.

Cell lengths 6.6843, 11.5058, 3.4745 Å; angles 90.00, 117.36, 90.00 degrees
Last column: nearest neighbours and their distance in Å.
Space group C2/m (No. 12)
Unique sites:
1 Sr 0.0000 0.0000 0.0000 (multiplicity 2)  4 Fe 3.34-3.55, 4 Y 3.38, 2 Sr 3.47
2 Y 0.2500 0.2500 0.5000 (multiplicity 4)  6 Y 3.34-3.55, 2 Fe 3.38, 2 Sr 3.38
3 Fe 0.0000 0.5000 0.0000 (multiplicity 2)  4 Sr 3.34-3.55, 4 Y 3.38, 2 Fe 3.47

Properties
Size of the total moment ... 3.97 μB per cell
Energy relative to the lowest polymorph listed for this composition ... 0.479 eV per atom
DFT total energy ... -5.140 eV/atom
Energy relative to the elements ... 628 meV/atom
V ... 237.3 Å³ per cell
Theoretical density ... 4.50 Mg/m³

=====

Here is a geometry-optimized Sr2YFe structure from Alexandria. Energies are from GGA-PBE.

Cell lengths 4.8892, 4.8892, 11.0397 Å; angles 90.00, 90.00, 90.00 degrees
Last column: nearest neighbours and their distance in Å.
Space group I4/mmm (No. 139)
Unique sites:
1 Sr 0.0000 0.5000 0.2500 (multiplicity 4)  4 Sr 3.46, 4 Y 3.69, 4 Fe 3.69
2 Y 0.0000 0.0000 0.0000 (multiplicity 2)  4 Fe 3.46, 8 Sr 3.69
3 Fe 0.0000 0.0000 0.5000 (multiplicity 2)  4 Y 3.46, 8 Sr 3.69

Properties
Size of the total moment ... 2.94 μB per cell
Energy relative to the lowest polymorph listed for this composition ... 0.373 eV per atom
DFT total energy ... -3.914 eV/atom
Energy relative to the elements ... 658 meV/atom
V ... 263.9 Å³ per cell
Theoretical density ... 4.03 Mg/m³

=====

Here is a geometry-optimized SrY2Fe structure from Alexandria. Energies are from GGA-PBE.

Cell lengths 3.4989, 3.4989, 9.7634 Å; angles 90.00, 90.00, 90.00 degrees
Last column: nearest neighbours and their distance in Å.
Space group P4/mmm (No. 123)
Unique sites:
1 Sr 0.0000 0.0000 0.0000 (multiplicity 1)  4 Sr 3.50
2 Y 0.5000 0.5000 0.3360 (multiplicity 2)  4 Fe 2.95, 1 Y 3.20
3 Fe 0.0000 0.0000 0.5000 (multiplicity 1)  8 Y 2.95

Properties
Size of the total moment ... 1.01 μB per cell
Energy relative to the lowest polymorph listed for this composition ... 0.000 eV per atom
DFT total energy ... -5.619 eV/atom
Energy relative to the elements ... 149 meV/atom
V ... 119.5 Å³ per cell
Theoretical density ... 4.46 Mg/m³

=====

Here is a geometry-optimized SrZnFe2 structure from Alexandria. Energies are from GGA-PBE.

Cell lengths 3.3788, 3.3976, 6.7344 Å; angles 90.00, 90.00, 90.00 degrees
Last column: nearest neighbours and their distance in Å.
Space group Pmmm (No. 47)
Unique sites:
1 Sr 0.0000 0.0000 0.0000 (multiplicity 1)  8 Fe 3.31, 2 Zn 3.37, 4 Sr 3.38-3.40
2 Zn 0.0000 0.0000 0.5000 (multiplicity 1)  8 Fe 2.63
3 Fe 0.5000 0.5000 0.3393 (multiplicity 2)  1 Fe 2.16

Properties
Size of the total moment ... 4.97 μB per cell
DFT total energy ... -4.510 eV/atom
Energy relative to the elements ... 461 meV/atom
V ... 77.3 Å³ per cell
Theoretical density ... 5.69 Mg/m³